Below is a geometry-optimized NaHgBF4 structure, with properties calculated at the GGA-PBE level.

## Properties
Its uncorrected formation energy is -2.47 eV per atom. Its density of states at the Fermi level is 0.0 states/eV/cell.

abc: 11.1784 6.5875 6.5343
angles: 90.00 100.13 90.00
Space group C2/m (No. 12)
Inequivalent atoms, fractional coordinates:
Na 0.1995 0.0000 0.3194 [4 per cell]
Hg 0.0265 0.5000 0.2505 [4 per cell]
B 0.1441 0.0000 0.7619 [4 per cell]
F 0.0166 0.0000 0.7436 [4 per cell]
F 0.1824 0.1740 0.6583 [8 per cell]
F 0.1998 0.0000 0.9722 [4 per cell]